# MnCoBrF, optimized geometry, DFT PBE with a Hubbard U
data_MnCoBrF
_symmetry_space_group_name_H-M 'P 1'
_symmetry_Int_Tables_number 1
_cell_length_a 3.624
_cell_length_b 4.010
_cell_length_c 6.064
_cell_angle_alpha 102.53
_cell_angle_beta 107.26
_cell_angle_gamma 90.01
loop_
_symmetry_equiv_pos_as_xyz
'x,y,z'
loop_
_atom_site_label
_atom_site_type_symbol
_atom_site_fract_x
_atom_site_fract_y
_atom_site_fract_z
Mn1 Mn 0.000 0.000 0.000
Co1 Co 0.464 0.472 0.928
Br1 Br 0.321 0.846 0.638
F1 F 0.592 0.163 0.185
# Distance to the lowest polymorph of the same formula   65 meV per atom
# E_tot   -4.670 eV per atom
# D(E_F)   0.71 states/eV per cell